1.
The following is a PBE calculation of a geometry-optimized MgNb2Ir3 structure, from Alexandria.

Computed properties:
Density of states at the Fermi level in states/eV per atom: 0.73
Volume in Å³/f.u.: 96
Size of the total moment in μB/atom: 0.00
Calculated formation energy in meV/atom: -494
SG: No. 123
Mass density in Mg/m³: 13.66
E in eV/cell: -51.28

Cell: 2.968 2.968 10.858 Å, 90.00 90.00 90.00°
Positions (direct):
Mg 0.000 0.000 0.000
Nb 0.000 0.000 0.324
Nb 0.000 0.000 0.676
Ir 0.500 0.500 0.163
Ir 0.500 0.500 0.500
Ir 0.500 0.500 0.837


2.
The following is a PBE calculation of a geometry-optimized MgNb2Ir2 structure, from Alexandria.

Computed properties:
Density of states at the Fermi level in states/eV per atom: 0.70
Volume in Å³/f.u.: 88
Size of the total moment in μB/atom: 0.00
Calculated formation energy in meV/atom: -405
SG: No. 127
ΔE to the lowest computed polymorph in meV/atom: 0
Mass density in Mg/m³: 11.18
E in eV/cell: -82.96

Cell: 7.730 7.730 2.954 Å, 90.00 90.00 90.00°
Positions (direct):
Mg 0.000 0.000 0.000
Mg 0.500 0.500 0.000
Nb 0.164 0.336 0.500
Nb 0.336 0.836 0.500
Nb 0.664 0.164 0.500
Nb 0.836 0.664 0.500
Ir 0.130 0.630 0.000
Ir 0.370 0.130 0.000
Ir 0.630 0.870 0.000
Ir 0.870 0.370 0.000


3.
The following is a PBE calculation of a geometry-optimized MgNb2Ir2 structure, from Alexandria.

Computed properties:
Density of states at the Fermi level in states/eV per atom: 0.55
Volume in Å³/f.u.: 89
Size of the total moment in μB/atom: 0.00
Calculated formation energy in meV/atom: -271
SG: No. 127
ΔE to the lowest computed polymorph in meV/atom: 134
Mass density in Mg/m³: 11.04
E in eV/cell: -81.62

Cell: 7.905 7.905 2.861 Å, 90.00 90.00 90.00°
Positions (direct):
Mg 0.000 0.000 0.000
Mg 0.500 0.500 0.000
Nb 0.151 0.349 0.000
Nb 0.349 0.849 0.000
Nb 0.651 0.151 0.000
Nb 0.849 0.651 0.000
Ir 0.141 0.641 0.500
Ir 0.359 0.141 0.500
Ir 0.641 0.859 0.500
Ir 0.859 0.359 0.500


4.
The following is a PBE calculation of a geometry-optimized MgNbIr structure, from Alexandria.

Computed properties:
Density of states at the Fermi level in states/eV per atom: 0.67
Volume in Å³/f.u.: 55
Size of the total moment in μB/atom: 0.00
Calculated formation energy in meV/atom: -157
SG: No. 69
Mass density in Mg/m³: 9.28
E in eV/cell: -41.99

Cell: 6.681 6.261 4.516 Å, 74.66 64.66 40.69°
Positions (direct):
Mg 0.180 0.820 0.180
Mg 0.820 0.180 0.820
Nb 0.250 0.250 0.250
Nb 0.750 0.750 0.750
Ir 0.380 0.380 0.620
Ir 0.620 0.620 0.380


5.
The following is a PBE calculation of a geometry-optimized MgNbIr2 structure, from Alexandria.

Computed properties:
Density of states at the Fermi level in states/eV per atom: 0.55
Volume in Å³/f.u.: 72
Size of the total moment in μB/atom: 0.00
Calculated formation energy in meV/atom: 94
SG: No. 122
Mass density in Mg/m³: 11.56
E in eV/cell: -58.02

Cell: 5.783 5.783 5.783 Å, 103.90 103.90 121.29°
Positions (direct):
Mg 0.000 0.000 0.000
Mg 0.750 0.250 0.500
Nb 0.250 0.750 0.500
Nb 0.500 0.500 0.000
Ir 0.150 0.625 0.025
Ir 0.375 0.400 0.525
Ir 0.600 0.125 0.975
Ir 0.875 0.850 0.475


6.
The following is a PBE calculation of a geometry-optimized Mg3NbIr4 structure, from Alexandria.

Computed properties:
Density of states at the Fermi level in states/eV per atom: 0.14
Volume in Å³/f.u.: 123
Size of the total moment in μB/atom: 0.00
Calculated formation energy in meV/atom: -501
SG: No. 123
Mass density in Mg/m³: 12.59
E in eV/cell: -54.30

Cell: 4.442 4.442 6.247 Å, 90.00 90.00 90.00°
Positions (direct):
Mg 0.000 0.000 0.000
Mg 0.000 0.000 0.500
Mg 0.500 0.500 0.000
Nb 0.500 0.500 0.500
Ir 0.000 0.500 0.253
Ir 0.000 0.500 0.747
Ir 0.500 0.000 0.253
Ir 0.500 0.000 0.747


Among the records above, which one has the highest mass density? MgNb2Ir3


Which of these has the lowest volume? MgNbIr


Which of these has the highest calculated formation energy? MgNbIr2